Entry from Alexandria via LeMat-Bulk: a relaxed structure of HoSi3Rh3 (PBE).

Properties
Its crystal system is trigonal. The offset from the most stable computed form comes out at 57.5 meV/atom. The value obtained for the formation energy from raw total energies is -0.69 eV/atom. As for the space group: R-3.

```
data_HoSi3Rh3
_space_group_name_H-M_alt 'P 1'
_space_group_IT_number 1
_space_group_name_Hall 'P 1'
_cell_length_a 7.594
_cell_length_b 7.594
_cell_length_c 7.594
_cell_angle_alpha 52.47
_cell_angle_beta 52.47
_cell_angle_gamma 52.47
loop_
_atom_site_label
_atom_site_fract_x
_atom_site_fract_y
_atom_site_fract_z
Ho1 0.167 0.167 0.167
Ho2 0.833 0.833 0.833
Si1 0.137 0.698 0.390
Si2 0.302 0.610 0.863
Si3 0.390 0.137 0.698
Si4 0.610 0.863 0.302
Si5 0.698 0.390 0.137
Si6 0.863 0.302 0.610
Rh1 0.001 0.406 0.741
Rh2 0.259 0.999 0.594
Rh3 0.406 0.741 0.001
Rh4 0.594 0.259 0.999
Rh5 0.741 0.001 0.406
Rh6 0.999 0.594 0.259
```